Below is Pr2P6Pd21 after structural relaxation, with properties calculated at the PBE level.

abc: 8.672 8.672 8.672
angles: 60.00 60.00 60.00
Atoms (fractional coordinates):
Pd 0.656 0.000 0.344
P 0.260 0.740 0.260
Pd 0.613 0.613 0.160
Pd 0.000 0.344 0.656
P 0.260 0.740 0.740
P 0.260 0.260 0.740
P 0.740 0.260 0.260
P 0.740 0.260 0.740
Pd 0.344 0.000 0.656
Pd 0.000 0.000 0.000
Pd 0.000 0.344 0.000
Pd 0.613 0.160 0.613
Pd 0.000 0.000 0.344
Pr 0.750 0.750 0.750
Pd 0.160 0.613 0.613
Pd 0.656 0.000 0.000
Pd 0.387 0.387 0.840
Pd 0.387 0.387 0.387
Pd 0.840 0.387 0.387
Pd 0.000 0.000 0.656
Pr 0.250 0.250 0.250
Pd 0.344 0.656 0.000
Pd 0.387 0.840 0.387
Pd 0.656 0.344 0.000
Pd 0.000 0.656 0.000
Pd 0.344 0.000 0.000
Pd 0.613 0.613 0.613
Pd 0.000 0.656 0.344
P 0.740 0.740 0.260

## Properties
ΔH_f (0 K) in eV per atom: -0.62
Crystal system: cubic
Magnetic moment in μB per formula unit: 0.00
DOS(E_F) in states/eV/atom: 0.3283
E_tot in eV per atom: -5.83



Below is PrP2Pd8 after structural relaxation, with properties calculated at the PBE level.

abc: 5.517 5.517 7.348
angles: 90.00 90.00 90.00
Atoms (fractional coordinates):
Pd 0.753 0.247 0.806
Pd 0.753 0.753 0.806
Pd 0.247 0.753 0.194
Pr 0.500 0.500 0.500
P 0.500 0.000 0.000
Pd 0.247 0.247 0.806
Pd 0.247 0.753 0.806
Pd 0.753 0.247 0.194
P 0.000 0.500 0.000
Pd 0.753 0.753 0.194
Pd 0.247 0.247 0.194

## Properties
ΔH_f (0 K) in eV per atom: -0.29
Crystal system: tetragonal
Magnetic moment in μB per formula unit: 0.00
DOS(E_F) in states/eV/atom: 0.2896
E_tot in eV per atom: -5.48



Below is Pr2P4Pd5 after structural relaxation, with properties calculated at the PBE level.

abc: 5.733 5.855 7.477
angles: 79.18 67.46 60.69
Atoms (fractional coordinates):
P 0.479 0.301 0.740
Pd 0.000 0.500 0.000
Pd 0.250 0.500 0.500
P 0.781 0.699 0.740
Pr 0.146 0.000 0.708
Pd 0.500 0.500 0.000
P 0.521 0.699 0.260
Pr 0.854 0.000 0.292
P 0.219 0.301 0.260
Pd 0.500 0.000 0.000
Pd 0.750 0.500 0.500

## Properties
ΔH_f (0 K) in eV per atom: -0.73
Crystal system: orthorhombic
Magnetic moment in μB per formula unit: 0.00
DOS(E_F) in states/eV/atom: 0.3788
E_tot in eV per atom: -5.93



Below is PrPPd3 after structural relaxation, with properties calculated at the PBE level.

abc: 4.630 4.630 4.630
angles: 90.00 90.00 90.00
Atoms (fractional coordinates):
Pd 0.000 0.500 0.000
Pd 0.000 0.000 0.500
P 0.000 0.000 0.000
Pd 0.500 0.000 0.000
Pr 0.500 0.500 0.500

## Properties
ΔH_f (0 K) in eV per atom: -0.72
Crystal system: cubic
Magnetic moment in μB per formula unit: 0.00
DOS(E_F) in states/eV/atom: 0.1608
E_tot in eV per atom: -5.88